Below is Ba2LiNi3F12 after structural relaxation, with properties calculated at the PBE+U level.

Computed properties:
- VASP energy (eV per formula unit) = -83.438

The structure in extended XYZ format:
```
18
Lattice="3.621 2.090 5.664 -3.621 2.090 5.664 0.000 -4.181 5.664" Properties=species:S:1:pos:R:3 pbc="T T T"
Ba 0.000 0.000 1.989
Ba 0.000 0.000 15.002
Li 0.000 0.000 8.495
Ni -1.810 -1.045 5.664
Ni -1.810 1.045 11.327
Ni 0.000 2.090 5.664
F -1.944 -1.122 7.640
F 0.000 -1.735 5.869
F -1.503 0.868 5.869
F 0.000 -2.245 9.351
F -1.944 1.122 9.351
F -1.503 -0.868 11.122
F 1.503 0.868 5.869
F 1.944 -1.122 7.640
F 0.000 2.245 7.640
F 1.503 -0.868 11.122
F 0.000 1.735 11.122
F 1.944 1.122 9.351
```